1 | ## Ta2ZnTeH (PBE)

Data for crystalline Ta2ZnTeH at its relaxed geometry.

Structure (POSCAR):
```
Ta2ZnTeH
1.0
5.066 0.000 0.000
0.000 3.274 0.000
0.000 0.000 5.066
H Zn Ta Te
1 1 2 1
Cartesian
0.000 1.637 0.000
0.000 0.000 0.000
2.533 0.000 0.000
0.000 0.000 2.533
2.533 1.637 2.533
```

Calculated values
The space group is P4/mmm (123). The density is 10.99 g/cm3.

---

2 | ## Ta2ZnTeH (PBE)

Data for crystalline Ta2ZnTeH at its relaxed geometry.

Structure (POSCAR):
```
Ta2ZnTeH
1.0
-3.757 -1.598 0.539
1.699 -4.237 -0.719
0.743 -0.386 4.032
Ta Te H Zn
2 1 1 1
Cartesian
-1.879 -0.799 0.270
0.372 -0.193 2.016
-0.657 -3.111 1.926
0.000 0.000 0.000
0.849 -2.119 -0.360
```

Calculated values
The space group is P4/mmm (123). The density is 11.78 g/cm3.

---

How do the energies compare? Relative to the most stable structure, in eV/atom: 1 0.440; 2 0.000.